# 1
The following is a DFT calculation (PBE) of crystalline SmEr2Se at its relaxed geometry.

## Properties
Formation energy without anion corrections (eV/atom): -0.7942
Symmetry: R3m, No. 160
Relative energy among the computed polymorphs (meV/atom): 0
Final energy (eV/atom): -5.127

Unit cell a=9.7176 b=9.7176 c=9.7176 alpha=22.33 beta=22.33 gamma=22.33
With the nearest neighbours (Å) after each atom.
Positions (direct):
Sm 0.0000 0.0000 0.0000  6 Er 3.60-3.63, 6 Sm 3.76
Er 0.2312 0.2312 0.2312  3 Se 2.85
Er 0.4343 0.4343 0.4343  3 Se 2.86
Se 0.8329 0.8329 0.8329  6 Er 2.85-2.86

***

# 2
The following is a DFT calculation (PBE) of crystalline BF2 at its relaxed geometry.

## Properties
Formation energy without anion corrections (eV/atom): -2.3617
Symmetry: P2_1/c, No. 14
Final energy (eV/atom): -5.835

Unit cell a=4.9265 b=6.6495 c=6.5814 alpha=90.00 beta=124.20 gamma=90.00
With the nearest neighbours (Å) after each atom.
Positions (direct):
B 0.1413 0.0646 0.1311  2 F 1.33-1.34
B 0.1413 0.4354 0.6311  2 F 1.33-1.34
B 0.8587 0.5646 0.3689  2 F 1.33-1.34
B 0.8587 0.9354 0.8689  2 F 1.33-1.34
F 0.0475 0.2024 0.2285  1 B 1.34
F 0.0475 0.2976 0.7285  1 B 1.34
F 0.4629 0.0332 0.2489  1 B 1.33
F 0.4629 0.4668 0.7489  1 B 1.33
F 0.5371 0.5332 0.2511  1 B 1.33
F 0.5371 0.9668 0.7511  1 B 1.33
F 0.9525 0.7024 0.2715  1 B 1.34
F 0.9525 0.7976 0.7715  1 B 1.34

***

# 3
The following is a DFT calculation (PBE) of crystalline PO at its relaxed geometry.

## Properties
Formation energy without anion corrections (eV/atom): 0.4057
Symmetry: Fm-3m, No. 225
Relative energy among the computed polymorphs (meV/atom): 1477
Final energy (eV/atom): -4.778

Unit cell a=3.2520 b=3.2520 c=3.2520 alpha=60.00 beta=60.00 gamma=60.00
With the nearest neighbours (Å) after each atom.
Positions (direct):
P 0.0000 0.0000 0.0000  6 O 2.30
O 0.5000 0.5000 0.5000  6 P 2.30

***

# 4
The following is a DFT calculation (PBE) of crystalline Ce3Dy2ThN6 at its relaxed geometry.

## Properties
Formation energy without anion corrections (eV/atom): -1.5768
Symmetry: C2/m, No. 12
Final energy (eV/atom): -8.608

Unit cell a=6.1570 b=6.1570 c=6.1686 alpha=99.56 beta=99.56 gamma=120.00
With the nearest neighbours (Å) after each atom.
Positions (direct):
Ce 0.0000 0.0000 0.0000  6 N 2.51-2.53
Ce 0.3319 0.6681 0.0000  6 N 2.50-2.55
Ce 0.6681 0.3319 0.0000  6 N 2.50-2.55
Dy 0.1664 0.8336 0.5000  6 N 2.49-2.50
Dy 0.8336 0.1664 0.5000  6 N 2.49-2.50
Th 0.5000 0.5000 0.5000  6 N 2.52-2.53
N 0.0807 0.4174 0.2522  3 Ce 2.50-2.53, 2 Dy 2.50, 1 Th 2.53
N 0.2456 0.2456 0.7468  2 Dy 2.49, 3 Ce 2.51-2.55, 1 Th 2.52
N 0.4174 0.0807 0.2522  3 Ce 2.50-2.53, 2 Dy 2.50, 1 Th 2.53
N 0.5826 0.9193 0.7478  3 Ce 2.50-2.53, 2 Dy 2.50, 1 Th 2.53
N 0.7544 0.7544 0.2532  2 Dy 2.49, 3 Ce 2.51-2.55, 1 Th 2.52
N 0.9193 0.5826 0.7478  3 Ce 2.50-2.53, 2 Dy 2.50, 1 Th 2.53

***

# 5
The following is a DFT calculation (PBE) of crystalline BaLuRh2 at its relaxed geometry.

## Properties
Energy of formation from the pure elements (meV/atom): -459
Symmetry: P4/mmm, No. 123
Final energy (eV/atom): -5.746

Unit cell a=3.4428 b=3.4428 c=7.6319 alpha=90.00 beta=90.00 gamma=90.00
With the nearest neighbours (Å) after each atom.
Positions (direct):
Ba 0.0000 0.0000 0.0000  8 Rh 3.34, 4 Ba 3.44
Lu 0.0000 0.0000 0.5000  8 Rh 2.87
Rh 0.5000 0.5000 0.3003  4 Lu 2.87, 1 Rh 3.05
Rh 0.5000 0.5000 0.6997  4 Lu 2.87, 1 Rh 3.05

***

# 6
The following is a DFT calculation (PBE) of crystalline DyAgHgPd at its relaxed geometry.

## Properties
Energy of formation from the pure elements (meV/atom): -452
Symmetry: F-43m, No. 216
Final energy (eV/atom): -3.689

Unit cell a=4.8733 b=4.8733 c=4.8733 alpha=60.00 beta=60.00 gamma=60.00
With the nearest neighbours (Å) after each atom.
Positions (direct):
Dy 0.0000 0.0000 0.0000  4 Pd 2.98, 4 Ag 2.98
Ag 0.2500 0.2500 0.2500  4 Hg 2.98, 4 Dy 2.98
Hg 0.5000 0.5000 0.5000  4 Pd 2.98, 4 Ag 2.98
Pd 0.7500 0.7500 0.7500  4 Hg 2.98, 4 Dy 2.98